Below is crystalline SnHgTe at its relaxed geometry, with properties calculated at the PBE-GGA level.

Calculated values
For the calculated density, the calculation gives 7229 kg/m³. The crystal system is cubic. The calculation puts the distance to the lowest polymorph of the same formula at 0 meV/atom. The value obtained for the final energy is -30.3 eV/cell.

Cell lengths 7.4328, 7.4328, 7.4328 Å; angles 90.00, 90.00, 90.00 degrees
Space group F-43m (No. 216)
Symmetry-distinct sites (fractional):
Sn  0.0000  0.0000  0.0000
Hg  0.2500  0.2500  0.7500
Te  0.2500  0.2500  0.2500